Entry 1:
{
  "formula": "Y6Ga17Pt5",
  "functional": "GGA-PBEsol",
  "state": "relaxed",
  "lattice_angstrom": [[4.155, 0.000, 0.000], [-2.078, 7.817, 0.071], [0.000, -3.455, 15.240]],
  "species": ["Ga", "Ga", "Ga", "Ga", "Ga", "Ga", "Ga", "Ga", "Ga", "Ga", "Ga", "Ga", "Ga", "Ga", "Ga", "Ga", "Ga", "Y", "Y", "Y", "Y", "Y", "Y", "Pt", "Pt", "Pt", "Pt", "Pt"],
  "frac_coords": [[0.500, 0.000, 0.000], [0.231, 0.461, 0.399], [0.272, 0.544, 0.105], [0.957, 0.914, 0.326], [0.173, 0.346, 0.544], [0.043, 0.086, 0.674], [0.827, 0.654, 0.456], [0.895, 0.790, 0.728], [0.323, 0.647, 0.956], [0.677, 0.353, 0.044], [0.454, 0.908, 0.824], [0.398, 0.797, 0.230], [0.105, 0.210, 0.272], [0.546, 0.092, 0.176], [0.769, 0.539, 0.601], [0.602, 0.203, 0.770], [0.728, 0.456, 0.895], [0.751, 0.503, 0.251], [0.911, 0.822, 0.090], [0.410, 0.820, 0.589], [0.089, 0.178, 0.910], [0.249, 0.497, 0.749], [0.590, 0.180, 0.411], [0.607, 0.214, 0.608], [0.887, 0.775, 0.888], [0.000, 0.000, 0.500], [0.113, 0.225, 0.112], [0.393, 0.786, 0.392]],
  "vol_a3_per_atom": 17.7,
  "delta_e_f_ev_per_atom": -0.7848,
  "final_energy_ev_per_atom": -5.518
}

---

Entry 2:
{
  "formula": "Cd2AsPdF",
  "functional": "GGA-PBEsol",
  "state": "relaxed",
  "lattice_angstrom": [[4.374, 0.000, 0.000], [0.000, 4.556, 0.000], [0.000, 0.000, 4.556]],
  "species": ["As", "Pd", "F", "Cd", "Cd"],
  "frac_coords": [[0.500, 0.000, 0.000], [0.500, 0.500, 0.500], [0.000, 0.000, 0.000], [0.000, 0.500, 0.000], [0.000, 0.000, 0.500]],
  "vol_a3_per_atom": 18.2,
  "final_energy_ev_per_atom": -3.171
}

---

Entry 3:
{
  "formula": "BaBeP2",
  "functional": "GGA-PBEsol",
  "state": "relaxed",
  "lattice_angstrom": [[4.303, 0.000, 0.000], [0.000, 4.303, 0.000], [-2.151, -2.151, 4.419]],
  "species": ["Ba", "P", "P", "Be"],
  "frac_coords": [[0.500, 0.500, 0.000], [0.750, 0.250, 0.500], [0.000, 0.000, 0.000], [0.250, 0.750, 0.500]],
  "vol_a3_per_atom": 20.5,
  "de_polymorph_ev_per_atom": 0.370,
  "delta_e_f_ev_per_atom": 0.4208,
  "final_energy_ev_per_atom": -4.012
}

---

Entry 4:
{
  "formula": "TaP",
  "functional": "GGA-PBEsol",
  "state": "relaxed",
  "lattice_angstrom": [[-2.346, -2.326, 0.191], [0.634, -0.896, -3.122], [4.685, -2.099, 3.307]],
  "species": ["P", "P", "Ta", "Ta"],
  "frac_coords": [[0.667, 0.667, 0.335], [0.917, 0.417, 0.835], [0.500, 0.000, 0.000], [0.250, 0.250, 0.500]],
  "vol_a3_per_atom": 15.4,
  "delta_e_f_ev_per_atom": -1.0081,
  "final_energy_ev_per_atom": -10.179
}

---

Entry 5:
{
  "formula": "ErAlPd",
  "functional": "GGA-PBEsol",
  "state": "relaxed",
  "lattice_angstrom": [[-1.374, 1.612, -3.379], [4.215, -4.198, -3.717], [-6.489, -2.102, 1.635]],
  "species": ["Al", "Al", "Al", "Er", "Er", "Er", "Pd", "Pd", "Pd"],
  "frac_coords": [[0.000, 0.240, 0.000], [0.000, 0.000, 0.240], [0.000, 0.760, 0.760], [0.500, 0.000, 0.584], [0.500, 0.584, 0.000], [0.500, 0.416, 0.416], [0.000, 0.667, 0.333], [0.000, 0.333, 0.667], [0.500, 0.000, 0.000]],
  "vol_a3_per_atom": 18.9,
  "delta_e_f_ev_per_atom": -0.8914,
  "final_energy_ev_per_atom": -5.884
}

---

Entry 6:
{
  "formula": "Hf2ZrGa2",
  "functional": "GGA-PBEsol",
  "state": "relaxed",
  "lattice_angstrom": [[3.510, 0.000, 0.000], [0.000, 7.314, 0.000], [0.000, 0.000, 7.314]],
  "species": ["Ga", "Ga", "Ga", "Ga", "Zr", "Zr", "Hf", "Hf", "Hf", "Hf"],
  "frac_coords": [[0.000, 0.122, 0.378], [0.000, 0.878, 0.622], [0.000, 0.378, 0.878], [0.000, 0.622, 0.122], [0.000, 0.000, 0.000], [0.000, 0.500, 0.500], [0.500, 0.322, 0.178], [0.500, 0.678, 0.822], [0.500, 0.178, 0.678], [0.500, 0.822, 0.322]],
  "vol_a3_per_atom": 18.8,
  "de_polymorph_ev_per_atom": 0.000,
  "delta_e_f_ev_per_atom": -0.5079,
  "final_energy_ev_per_atom": -7.863
}

---

Entry 7:
{
  "formula": "Sc3TcCl",
  "functional": "GGA-PBEsol",
  "state": "relaxed",
  "lattice_angstrom": [[-3.909, 0.990, -2.238], [0.169, -4.098, -2.108], [-2.441, -1.869, 3.437]],
  "species": ["Sc", "Sc", "Sc", "Tc", "Cl"],
  "frac_coords": [[0.500, 0.000, 0.000], [0.000, 0.500, 0.000], [0.000, 0.000, 0.500], [0.500, 0.500, 0.500], [0.000, 0.000, 0.000]],
  "vol_a3_per_atom": 19.6,
  "final_energy_ev_per_atom": -6.633
}

---

Entry 8:
{
  "formula": "KMnCl",
  "functional": "GGA-PBEsol",
  "state": "relaxed",
  "lattice_angstrom": [[-2.318, -2.862, 3.778], [2.937, -2.411, 3.660], [-0.038, 1.741, 4.980]],
  "species": ["Mn", "Cl", "K"],
  "frac_coords": [[0.250, 0.250, 0.250], [0.000, 0.000, 0.000], [0.500, 0.500, 0.500]],
  "vol_a3_per_atom": 34.6,
  "de_polymorph_ev_per_atom": 0.040,
  "final_energy_ev_per_atom": -3.867
}

---

Entry 9:
{
  "formula": "CdRh",
  "functional": "GGA-PBEsol",
  "state": "relaxed",
  "lattice_angstrom": [[-0.216, -2.998, 2.867], [3.384, -2.215, 0.949], [1.851, 0.511, 3.684]],
  "species": ["Rh", "Cd"],
  "frac_coords": [[0.750, 0.750, 0.750], [0.000, 0.000, 0.000]],
  "vol_a3_per_atom": 25.3,
  "delta_e_f_ev_per_atom": 1.3828,
  "final_energy_ev_per_atom": -3.285
}

---

Entry 10:
{
  "formula": "Sc2Ni",
  "functional": "GGA-PBEsol",
  "state": "relaxed",
  "lattice_angstrom": [[-1.426, -0.131, -4.134], [-5.798, -2.298, 2.073], [0.965, 6.479, -0.539]],
  "species": ["Sc", "Sc", "Sc", "Sc", "Sc", "Sc", "Ni", "Ni", "Ni"],
  "frac_coords": [[0.500, 0.408, 0.408], [0.500, 0.000, 0.592], [0.500, 0.592, 0.000], [0.000, 0.736, 0.736], [0.000, 0.000, 0.264], [0.000, 0.264, 0.000], [0.000, 0.667, 0.333], [0.000, 0.333, 0.667], [0.500, 0.000, 0.000]],
  "vol_a3_per_atom": 18.2,
  "delta_e_f_ev_per_atom": -0.3202,
  "final_energy_ev_per_atom": -6.776
}

---

Entry 11:
{
  "formula": "RbBOsS2",
  "functional": "GGA-PBEsol",
  "state": "relaxed",
  "lattice_angstrom": [[4.245, 0.000, 0.000], [0.000, 4.245, 0.000], [0.000, 0.000, 4.410]],
  "species": ["Rb", "B", "S", "S", "Os"],
  "frac_coords": [[0.000, 0.000, 0.500], [0.000, 0.000, 0.000], [0.000, 0.500, 0.000], [0.500, 0.000, 0.000], [0.500, 0.500, 0.500]],
  "vol_a3_per_atom": 15.9,
  "final_energy_ev_per_atom": -4.048
}

---

Entry 12:
{
  "formula": "Sc2InSb",
  "functional": "GGA-PBEsol",
  "state": "relaxed",
  "lattice_angstrom": [[-0.012, 4.659, -1.852], [-4.014, 2.937, 0.629], [0.232, 3.931, 3.102]],
  "species": ["Sb", "Sc", "Sc", "In"],
  "frac_coords": [[0.500, 0.500, 0.500], [0.250, 0.250, 0.250], [0.750, 0.750, 0.750], [0.000, 0.000, 0.000]],
  "vol_a3_per_atom": 22.3,
  "de_polymorph_ev_per_atom": 0.178,
  "final_energy_ev_per_atom": -5.677
}

---

Entry 13:
{
  "formula": "Li2AlMo",
  "functional": "GGA-PBEsol",
  "state": "relaxed",
  "lattice_angstrom": [[-2.011, 1.684, 0.476], [-2.526, -2.087, -3.288], [-1.789, -3.077, 3.328]],
  "species": ["Al", "Mo", "Li", "Li"],
  "frac_coords": [[0.000, 0.500, 0.500], [0.500, 0.000, 0.500], [0.500, 0.500, 0.000], [0.000, 0.000, 0.000]],
  "vol_a3_per_atom": 15.1,
  "delta_e_f_ev_per_atom": 0.1686,
  "final_energy_ev_per_atom": -4.780
}

---

Entry 14:
{
  "formula": "Ca4FePt",
  "functional": "GGA-PBEsol",
  "state": "relaxed",
  "lattice_angstrom": [[-4.412, 2.646, -2.975], [-0.291, -0.464, -5.918], [-4.271, -3.278, -2.517]],
  "species": ["Fe", "Ca", "Ca", "Ca", "Ca", "Pt"],
  "frac_coords": [[0.750, 0.750, 0.750], [0.375, 0.375, 0.876], [0.375, 0.876, 0.375], [0.876, 0.375, 0.375], [0.375, 0.375, 0.375], [0.000, 0.000, 0.000]],
  "vol_a3_per_atom": 24.7,
  "delta_e_f_ev_per_atom": 0.8762,
  "final_energy_ev_per_atom": -3.200
}

---

Entry 15:
{
  "formula": "KBa3",
  "functional": "GGA-PBEsol",
  "state": "relaxed",
  "lattice_angstrom": [[-2.151, 1.952, -3.292], [1.595, -4.057, -0.521], [-12.676, -5.620, 4.951]],
  "species": ["Ba", "Ba", "Ba", "K"],
  "frac_coords": [[0.000, 0.000, 0.760], [0.333, 0.667, 0.000], [0.000, 0.000, 0.240], [0.333, 0.667, 0.500]],
  "vol_a3_per_atom": 61.4,
  "de_polymorph_ev_per_atom": 0.003,
  "delta_e_f_ev_per_atom": 0.0561,
  "final_energy_ev_per_atom": -1.839
}

---

Entry 16:
{
  "formula": "Al2ReRh",
  "functional": "GGA-PBEsol",
  "state": "relaxed",
  "lattice_angstrom": [[4.312, 0.000, 0.000], [2.156, 3.734, 0.000], [2.156, 1.245, 3.521]],
  "species": ["Al", "Al", "Rh", "Re"],
  "frac_coords": [[0.750, 0.750, 0.750], [0.000, 0.000, 0.000], [0.250, 0.250, 0.250], [0.500, 0.500, 0.500]],
  "vol_a3_per_atom": 14.2,
  "de_polymorph_ev_per_atom": 0.200,
  "delta_e_f_ev_per_atom": -0.0743,
  "final_energy_ev_per_atom": -7.488
}

---

Entry 17:
{
  "formula": "BaCuIr2",
  "functional": "GGA-PBEsol",
  "state": "relaxed",
  "lattice_angstrom": [[2.933, 0.000, 0.000], [0.000, 5.330, -0.013], [0.000, -2.479, 4.718]],
  "species": ["Cu", "Ir", "Ir", "Ba"],
  "frac_coords": [[0.500, 0.500, 0.500], [0.000, 0.500, 0.000], [0.000, 0.000, 0.500], [0.500, 0.000, 0.000]],
  "vol_a3_per_atom": 18.4,
  "de_polymorph_ev_per_atom": 0.967,
  "delta_e_f_ev_per_atom": 0.9009,
  "final_energy_ev_per_atom": -5.632
}

---

Entry 18:
{
  "formula": "SmDyIn2",
  "functional": "GGA-PBEsol",
  "state": "relaxed",
  "lattice_angstrom": [[-5.244, 0.037, 0.497], [-2.790, -4.303, -1.202], [-2.303, -2.799, 3.822]],
  "species": ["In", "In", "Sm", "Dy"],
  "frac_coords": [[0.250, 0.250, 0.250], [0.750, 0.750, 0.750], [0.500, 0.500, 0.500], [0.000, 0.000, 0.000]],
  "vol_a3_per_atom": 25.8,
  "delta_e_f_ev_per_atom": -0.5268,
  "final_energy_ev_per_atom": -4.536
}

---

Entry 19:
{
  "formula": "IrC4",
  "functional": "GGA-PBEsol",
  "state": "relaxed",
  "lattice_angstrom": [[4.329, -0.129, 0.000], [-1.808, 3.936, 0.000], [-1.261, -1.903, 3.681]],
  "species": ["C", "C", "C", "C", "Ir"],
  "frac_coords": [[0.374, 0.000, 0.374], [0.000, 0.626, 0.626], [0.000, 0.374, 0.374], [0.626, 0.000, 0.626], [0.000, 0.000, 0.000]],
  "vol_a3_per_atom": 12.4,
  "de_polymorph_ev_per_atom": 0.815,
  "delta_e_f_ev_per_atom": 1.6871,
  "final_energy_ev_per_atom": -7.993
}

---

Entry 20:
{
  "formula": "LiZnIn2",
  "functional": "GGA-PBEsol",
  "state": "relaxed",
  "lattice_angstrom": [[3.286, 0.000, 0.000], [0.000, 4.117, 0.000], [0.000, 0.000, 5.811]],
  "species": ["In", "In", "Li", "Zn"],
  "frac_coords": [[0.000, 0.000, 0.978], [0.500, 0.500, 0.270], [0.000, 0.000, 0.504], [0.500, 0.500, 0.748]],
  "vol_a3_per_atom": 19.7,
  "delta_e_f_ev_per_atom": -0.0965,
  "final_energy_ev_per_atom": -2.475
}